1.
A plane-wave DFT calculation with PBE-GGA was carried out for crystalline Y2ScSn2Rh5 at its relaxed geometry.

Results
The space group is P4/mbm (127). The calculation puts the energy of formation at -6.560 eV per formula unit. Its density of states at the Fermi level is 0.57 states/eV/atom. The calculation puts the total magnetic moment at 0.00 μB per cell.

```
Y2ScSn2Rh5
1.0
10.1889 0.0000 0.0000
0.0000 10.1889 0.0000
0.0000 0.0000 3.7244
Y Sc Sn Rh
4 2 4 10
Direct
0.1697 0.3303 0.0000 Y
0.3303 0.8303 0.0000 Y
0.6697 0.1697 0.0000 Y
0.8303 0.6697 0.0000 Y
0.0000 0.0000 0.0000 Sc
0.5000 0.5000 0.0000 Sc
0.1295 0.6295 0.0000 Sn
0.3705 0.1295 0.0000 Sn
0.6295 0.8705 0.0000 Sn
0.8705 0.3705 0.0000 Sn
0.0000 0.5000 0.5000 Rh
0.0610 0.7996 0.5000 Rh
0.2004 0.0610 0.5000 Rh
0.2996 0.5610 0.5000 Rh
0.4390 0.2996 0.5000 Rh
0.5000 0.0000 0.5000 Rh
0.5610 0.7004 0.5000 Rh
0.7004 0.4390 0.5000 Rh
0.7996 0.9390 0.5000 Rh
0.9390 0.2004 0.5000 Rh
```

***

2.
A plane-wave DFT calculation with PBE-GGA was carried out for crystalline Sc2ZnSnRh4 at its relaxed geometry.

Results
The space group is R-3m (166). The calculation puts the energy of formation at -6.963 eV per formula unit. Its density of states at the Fermi level is 0.11 states/eV/atom. The calculation puts the total magnetic moment at 0.00 μB per cell.

```
Sc2ZnSnRh4
1.0
2.2394 1.2929 7.3339
-2.2394 1.2929 7.3339
0.0000 -2.5858 7.3339
Sc Zn Sn Rh
2 1 1 4
Direct
0.2466 0.2466 0.2466 Sc
0.7534 0.7534 0.7534 Sc
0.5000 0.5000 0.5000 Zn
0.0000 0.0000 0.0000 Sn
0.1258 0.1258 0.1258 Rh
0.3758 0.3758 0.3758 Rh
0.6242 0.6242 0.6242 Rh
0.8742 0.8742 0.8742 Rh
```

***

3.
A plane-wave DFT calculation with PBE-GGA was carried out for crystalline ScZnSnRh at its relaxed geometry.

Results
The space group is F-43m (216). The calculation puts the energy of formation at -2.069 eV per formula unit. Its density of states at the Fermi level is 0.44 states/eV/atom. The calculation puts the total magnetic moment at 0.00 μB per cell.

```
ScZnSnRh
1.0
0.0000 3.2667 3.2667
3.2667 0.0000 3.2667
3.2667 3.2667 0.0000
Sc Zn Sn Rh
1 1 1 1
Direct
0.0000 0.0000 0.0000 Sc
0.7500 0.7500 0.7500 Zn
0.2500 0.2500 0.2500 Sn
0.5000 0.5000 0.5000 Rh
```

***

4.
A plane-wave DFT calculation with PBE-GGA was carried out for crystalline SrScRh4 at its relaxed geometry.

Results
The space group is F-43m (216). The calculation puts the energy of formation at -2.543 eV per formula unit. Its density of states at the Fermi level is 1.17 states/eV/atom. The calculation puts the total magnetic moment at 0.00 μB per cell.

```
SrScRh4
1.0
0.0000 3.7772 3.7772
3.7772 0.0000 3.7772
3.7772 3.7772 0.0000
Sr Sc Rh
1 1 4
Direct
0.0000 0.0000 0.0000 Sr
0.7500 0.7500 0.7500 Sc
0.3755 0.3755 0.3755 Rh
0.3755 0.3755 0.8734 Rh
0.3755 0.8734 0.3755 Rh
0.8734 0.3755 0.3755 Rh
```

***

5.
A plane-wave DFT calculation with PBE-GGA was carried out for crystalline SrSc2Rh2 at its relaxed geometry.

Results
The space group is P4/mbm (127). For the relative energy among the computed polymorphs, the calculation gives 0.0748 eV/atom. The calculation puts the energy of formation at -2.831 eV per formula unit. Its density of states at the Fermi level is 0.54 states/eV/atom. The calculation puts the total magnetic moment at 0.00 μB per cell.

```
SrSc2Rh2
1.0
8.0607 0.0000 0.0000
0.0000 8.0607 0.0000
0.0000 0.0000 3.2123
Sr Sc Rh
2 4 4
Direct
0.0000 0.0000 0.0000 Sr
0.5000 0.5000 0.0000 Sr
0.1377 0.3623 0.5000 Sc
0.3623 0.8623 0.5000 Sc
0.6377 0.1377 0.5000 Sc
0.8623 0.6377 0.5000 Sc
0.1479 0.6479 0.0000 Rh
0.3521 0.1479 0.0000 Rh
0.6479 0.8521 0.0000 Rh
0.8521 0.3521 0.0000 Rh
```

***

6.
A plane-wave DFT calculation with PBE-GGA was carried out for crystalline SrSc2Rh at its relaxed geometry.

Results
The space group is P4/mmm (123). For the relative energy among the computed polymorphs, the calculation gives 0.3870 eV/atom. The calculation puts the energy of formation at 0.287 eV per formula unit. Its density of states at the Fermi level is 1.12 states/eV/atom. The calculation puts the total magnetic moment at 0.01 μB per cell.

```
SrSc2Rh
1.0
4.3630 0.0000 0.0000
0.0000 4.3630 0.0000
0.0000 0.0000 4.9149
Sr Sc Rh
1 2 1
Direct
0.0000 0.0000 0.0000 Sr
0.0000 0.5000 0.5000 Sc
0.5000 0.0000 0.5000 Sc
0.5000 0.5000 0.0000 Rh
```

***

7.
A plane-wave DFT calculation with PBE-GGA was carried out for crystalline Sr2Sc2Rh at its relaxed geometry.

Results
The space group is P4/mbm (127). The calculation puts the energy of formation at -0.311 eV per formula unit. Its density of states at the Fermi level is 1.25 states/eV/atom. The calculation puts the total magnetic moment at 0.00 μB per cell.

```
Sr2Sc2Rh
1.0
6.9598 0.0000 0.0000
0.0000 6.9598 0.0000
0.0000 0.0000 6.0739
Sr Sc Rh
4 4 2
Direct
0.1844 0.3156 0.0000 Sr
0.3156 0.8156 0.0000 Sr
0.6844 0.1844 0.0000 Sr
0.8156 0.6844 0.0000 Sr
0.1650 0.6650 0.5000 Sc
0.3350 0.1650 0.5000 Sc
0.6650 0.8350 0.5000 Sc
0.8350 0.3350 0.5000 Sc
0.0000 0.0000 0.5000 Rh
0.5000 0.5000 0.5000 Rh
```

***

8.
A plane-wave DFT calculation with PBE-GGA was carried out for crystalline SrSc2Rh at its relaxed geometry.

Results
The space group is R3m (160). For the relative energy among the computed polymorphs, the calculation gives 0.0119 eV/atom. The calculation puts the energy of formation at -1.213 eV per formula unit. Its density of states at the Fermi level is 0.94 states/eV/atom. The calculation puts the total magnetic moment at 0.57 μB per cell.

```
SrSc2Rh
1.0
2.0593 1.1889 7.8533
-2.0593 1.1889 7.8533
0.0000 -2.3779 7.8533
Sr Sc Rh
1 2 1
Direct
0.0000 0.0000 0.0000 Sr
0.5481 0.5481 0.5481 Sc
0.7858 0.7858 0.7858 Sc
0.1678 0.1678 0.1678 Rh
```

***

9.
A plane-wave DFT calculation with PBE-GGA was carried out for crystalline SrSc2Rh at its relaxed geometry.

Results
The space group is Imm2 (44). For the relative energy among the computed polymorphs, the calculation gives 0.1434 eV/atom. The calculation puts the energy of formation at -0.687 eV per formula unit. Its density of states at the Fermi level is 1.01 states/eV/atom. The calculation puts the total magnetic moment at 0.00 μB per cell.

```
SrSc2Rh
1.0
-1.7707 2.5125 5.6770
1.7707 -2.5125 5.6770
1.7707 2.5125 -5.6770
Sr Sc Rh
1 2 1
Direct
0.0000 0.0000 0.0000 Sr
0.3777 0.3777 0.0000 Sc
0.7035 0.2035 0.5000 Sc
0.2194 0.7194 0.5000 Rh
```

***

10.
A plane-wave DFT calculation with PBE-GGA was carried out for crystalline SrSc2Rh at its relaxed geometry.

Results
The space group is R-3m (166). For the relative energy among the computed polymorphs, the calculation gives 0.0363 eV/atom. The calculation puts the energy of formation at -1.116 eV per formula unit. Its density of states at the Fermi level is 0.74 states/eV/atom. The calculation puts the total magnetic moment at 0.00 μB per cell.

```
SrSc2Rh
1.0
2.0180 1.1651 8.3512
-2.0180 1.1651 8.3512
0.0000 -2.3302 8.3512
Sr Sc Rh
1 2 1
Direct
0.0000 0.0000 0.0000 Sr
0.2140 0.2140 0.2140 Sc
0.7860 0.7860 0.7860 Sc
0.5000 0.5000 0.5000 Rh
```

***

11.
A plane-wave DFT calculation with PBE-GGA was carried out for crystalline SrSc2Rh at its relaxed geometry.

Results
The space group is C2/m (12). For the relative energy among the computed polymorphs, the calculation gives 0.4926 eV/atom. The calculation puts the energy of formation at 0.709 eV per formula unit. Its density of states at the Fermi level is 1.15 states/eV/atom. The calculation puts the total magnetic moment at 0.00 μB per cell.

```
SrSc2Rh
1.0
3.0820 -5.2349 0.0000
3.0820 5.2349 0.0000
-1.4689 0.0000 2.8856
Sr Sc Rh
1 2 1
Direct
0.0000 0.0000 0.0000 Sr
0.0000 0.5000 0.5000 Sc
0.5000 0.0000 0.5000 Sc
0.5000 0.5000 0.0000 Rh
```

***

12.
A plane-wave DFT calculation with PBE-GGA was carried out for crystalline SrSc2Rh at its relaxed geometry.

Results
The space group is I4_1/amd (141). For the relative energy among the computed polymorphs, the calculation gives 0.6346 eV/atom. The calculation puts the energy of formation at 1.277 eV per formula unit. Its density of states at the Fermi level is 1.45 states/eV/atom. The calculation puts the total magnetic moment at 0.00 μB per cell.

```
SrSc2Rh
1.0
-3.1792 3.1792 7.4454
3.1792 -3.1792 7.4454
3.1792 3.1792 -7.4454
Sr Sc Rh
2 4 2
Direct
0.3750 0.6250 0.7500 Sr
0.6250 0.3750 0.2500 Sr
0.0000 0.0000 0.0000 Sc
0.0000 0.0000 0.5000 Sc
0.0000 0.5000 0.0000 Sc
0.5000 0.0000 0.5000 Sc
0.1250 0.8750 0.2500 Rh
0.8750 0.1250 0.7500 Rh
```

***

13.
A plane-wave DFT calculation with PBE-GGA was carried out for crystalline Sr3ScRh at its relaxed geometry.

Results
The space group is Pm-3m (221). For the relative energy among the computed polymorphs, the calculation gives 0.0000 eV/atom. The calculation puts the energy of formation at 0.809 eV per formula unit. Its density of states at the Fermi level is 0.30 states/eV/atom. The calculation puts the total magnetic moment at 0.00 μB per cell.

```
Sr3ScRh
1.0
5.7801 0.0000 0.0000
0.0000 5.7801 0.0000
0.0000 0.0000 5.7801
Sr Sc Rh
3 1 1
Direct
0.0000 0.0000 0.5000 Sr
0.0000 0.5000 0.0000 Sr
0.5000 0.0000 0.0000 Sr
0.5000 0.5000 0.5000 Sc
0.0000 0.0000 0.0000 Rh
```

***

14.
A plane-wave DFT calculation with PBE-GGA was carried out for crystalline SrSc2Rh2 at its relaxed geometry.

Results
The space group is I4/mmm (139). For the relative energy among the computed polymorphs, the calculation gives 0.2263 eV/atom. The calculation puts the energy of formation at -2.074 eV per formula unit. Its density of states at the Fermi level is 1.20 states/eV/atom. The calculation puts the total magnetic moment at 0.25 μB per cell.

```
SrSc2Rh2
1.0
-2.3594 2.3594 5.4644
2.3594 -2.3594 5.4644
2.3594 2.3594 -5.4644
Sr Sc Rh
1 2 2
Direct
0.0000 0.0000 0.0000 Sr
0.3447 0.3447 0.0000 Sc
0.6553 0.6553 0.0000 Sc
0.2500 0.7500 0.5000 Rh
0.7500 0.2500 0.5000 Rh
```

***

The raw total energy results, record by record, are as follows: -0.259, -0.249, -0.193, -0.245, -0.234, -0.197, -0.174, -0.210, -0.206, -0.210, -0.193, -0.188, -0.132, -0.229 hartree per atom.